[1]
Material: Tl2AsBr2F4
Method: DFT, GGA-PBE
State: relaxed

Structure (extended XYZ):
```
9
Lattice="-3.211 -2.193 -5.167 -1.626 -2.813 5.591 -1.218 6.165 1.527" Properties=species:S:1:pos:R:3 pbc="T T T"
Tl -3.130 -1.665 1.991
Tl -2.926 2.824 -0.041
As 0.000 0.000 0.000
Br -1.971 2.322 4.932
Br -0.874 1.029 2.186
F -1.546 -1.053 4.794
F -4.239 1.361 2.581
F -1.298 4.404 2.324
F -1.817 -0.203 -0.631
```

Uncorrected formation energy in eV per formula unit: -13.31
Electronic total energy in eV/cell: -33.518
Spin magnetization in μB per cell: 0.0



[2]
Material: CaTc2As2
Method: DFT, GGA-PBE
State: relaxed

Structure (extended XYZ):
```
5
Lattice="4.278 0.000 0.000 0.000 4.278 0.000 2.139 2.139 5.161" Properties=species:S:1:pos:R:3 pbc="T T T"
As 2.139 2.139 1.366
As 4.278 4.278 3.795
Ca 0.000 0.000 0.000
Tc 4.278 2.139 2.581
Tc 2.139 4.278 2.581
```

Energy of formation in eV per atom: -0.47
ΔE to the lowest computed polymorph in meV/atom: 0
Electronic total energy in eV/cell: -34.359
Spin magnetization in μB per cell: 0.0



[3]
Material: SrCr2Sb
Method: DFT, GGA-PBE
State: relaxed

Structure (extended XYZ):
```
8
Lattice="-2.792 3.770 0.665 -1.404 -0.243 -4.519 -9.256 -3.984 0.607" Properties=species:S:1:pos:R:3 pbc="T T T"
Sb 0.000 0.000 0.000
Sb -7.073 0.775 -0.327
Cr -4.978 2.334 0.179
Cr -5.589 2.090 -2.102
Cr -8.142 -1.601 0.213
Cr -9.584 0.277 0.399
Sr -2.098 1.763 -1.927
Sr -6.379 -1.232 -2.919
```

Uncorrected formation energy in eV per formula unit: 2.21
Electronic total energy in eV/cell: -45.689
Spin magnetization in μB per cell: 9.2



[4]
Material: CsNdCdS3
Method: DFT, GGA-PBE
State: relaxed

Structure (extended XYZ):
```
12
Lattice="4.273 0.000 0.000 0.000 9.394 -0.416 0.000 -2.920 9.874" Properties=species:S:1:pos:R:3 pbc="T T T"
Cs 1.068 1.315 2.235
Cs 3.205 5.159 7.223
Nd 1.068 5.871 1.071
Nd 3.205 0.603 8.388
Cd 1.068 -0.985 6.018
Cd 3.205 7.459 3.440
S 3.205 7.821 0.964
S 1.068 -1.347 8.495
S 1.068 6.166 4.161
S 3.205 0.308 5.297
S 3.205 3.997 1.245
S 1.068 2.477 8.213
```

Uncorrected formation energy in eV per formula unit: -8.39
Electronic total energy in eV/cell: -54.616
Spin magnetization in μB per cell: 0.0